Na2DyPWO8 | PBE with a Hubbard U | optimized geometry

The value obtained for the electronic total energy is -7.057 eV/atom. As for the density of states at the Fermi level: 0.00 states/eV per cell.

The space group is Ibca (No. 73) and the conventional cell measures 6.9655, 12.2450 and 18.2448 Å, with angles of 90.00, 90.00 and 90.00 degrees. The inequivalent atoms are Na at (0.0026, 0.0501, 0.1549), Dy at (0.2500, 0.1776, 0.5000), P at (0.2500, 0.0693, 0.0000), W at (0.0000, 0.2500, 0.3221), O at (0.0426, 0.1287, 0.7680), O at (0.0755, 0.1484, 0.0068), O at (0.2109, 0.2245, 0.3793) and O at (0.2403, 0.0064, 0.5680).